Density functional theory data (GGA-PBE) for a relaxed PuBr crystal.

Summary:
- VASP energy: -8.753 eV per atom

abc: 5.9022 5.9022 5.9022
angles: 90.00 90.00 90.00
Space group Fm-3m (No. 225)
Unique sites:
Pu 0.0000 0.0000 0.0000
Br 0.0000 0.0000 0.5000


Density functional theory data (GGA-PBE) for a relaxed RbPu2Br5 crystal.

Summary:
- VASP energy: -6.267 eV per atom

abc: 8.1696 8.1696 15.4072
angles: 90.00 90.00 90.00
Space group I4/mcm (No. 140)
Unique sites:
Rb 0.0000 0.0000 0.2500
Pu 0.1471 0.3529 0.0000
Br 0.0000 0.0000 0.0000
Br 0.1531 0.3469 0.3722


Density functional theory data (GGA-PBE) for a relaxed PuSe2Br2 crystal.

Summary:
- VASP energy: -5.988 eV per atom

abc: 7.2975 7.4157 8.0542
angles: 68.20 68.30 60.63
Space group P-1 (No. 2)
Unique sites:
Pu 0.1531 0.1931 0.0002
Se 0.0638 0.5813 0.6996
Se 0.2433 0.4706 0.1097
Br 0.1716 0.9698 0.7642
Br 0.4228 0.8416 0.2361